Entry 1:
## MoIrSe2 (GGA-PBE)

Data for MoIrSe2 after structural relaxation.

```
MoIrSe2
1.0
-3.587 -1.168 -4.213
1.690 -1.037 -5.296
0.091 -1.343 5.493
Mo Se Ir
1 2 1
Direct
0.255 0.755 0.500
0.021 0.021 0.000
0.730 0.230 0.500
0.494 0.494 0.000
```

Output
uncorrected formation energy: 0.333 eV per atom
space-group type: No. 44
M_tot: 0.0 μB/cell
DOS at the Fermi energy: 2.8 states/eV/cell

=====

Entry 2:
## MoIrSe (GGA-PBE)

Data for MoIrSe after structural relaxation.

```
MoIrSe
1.0
-1.389 1.651 -3.686
2.015 -0.929 -3.650
-1.878 -2.518 -2.895
Mo Se Ir
1 1 1
Direct
0.250 0.250 0.250
0.000 0.000 0.000
0.500 0.500 0.500
```

Output
uncorrected formation energy: 0.247 eV per atom
space-group type: No. 216
M_tot: 0.0 μB/cell
DOS at the Fermi energy: 2.7 states/eV/cell

=====

Entry 3:
## MoIrSe2 (GGA-PBE)

Data for MoIrSe2 after structural relaxation.

```
MoIrSe2
1.0
1.760 -2.247 3.455
-2.552 -1.028 3.538
-1.190 -4.256 0.744
Mo Se Ir
1 2 1
Direct
0.000 0.000 0.000
0.750 0.750 0.750
0.250 0.250 0.250
0.500 0.500 0.500
```

Output
uncorrected formation energy: 0.325 eV per atom
space-group type: No. 225
M_tot: 0.0 μB/cell
DOS at the Fermi energy: 4.1 states/eV/cell

=====

Entry 4:
## Mo2IrSe (GGA-PBE)

Data for Mo2IrSe after structural relaxation.

```
Mo2IrSe
1.0
-5.133 1.135 0.030
-3.351 -3.951 -0.888
3.807 1.908 3.081
Mo Se Ir
2 1 1
Direct
0.524 0.524 0.000
0.976 0.976 0.000
0.750 0.250 0.500
0.250 0.750 0.500
```

Output
uncorrected formation energy: 0.202 eV per atom
space-group type: No. 71
M_tot: 0.0 μB/cell
DOS at the Fermi energy: 2.8 states/eV/cell

=====

Entry 5:
## MoIrSe2 (GGA-PBE)

Data for MoIrSe2 after structural relaxation.

```
MoIrSe2
1.0
-0.793 -0.081 -4.494
-4.104 -1.233 -1.571
-2.751 3.114 -1.889
Se Ir Mo
2 1 1
Direct
0.250 0.250 0.250
0.000 0.000 0.000
0.500 0.500 0.500
0.750 0.750 0.750
```

Output
uncorrected formation energy: 0.637 eV per atom
space-group type: No. 216
M_tot: 0.0 μB/cell
DOS at the Fermi energy: 3.1 states/eV/cell

=====

Entry 6:
## MoIrSe (GGA-PBE)

Data for MoIrSe after structural relaxation.

```
MoIrSe
1.0
-2.257 1.542 -1.215
0.036 -0.524 2.950
6.456 10.917 1.859
Ir Mo Se
2 2 2
Direct
0.134 0.267 0.842
0.134 0.267 0.158
0.423 0.845 0.500
0.468 0.935 0.000
0.755 0.509 0.357
0.755 0.509 0.643
```

Output
uncorrected formation energy: 0.029 eV per atom
space-group type: No. 38
M_tot: 0.0 μB/cell
DOS at the Fermi energy: 1.9 states/eV/cell

=====

Entry 7:
## Mo2IrSe (GGA-PBE)

Data for Mo2IrSe after structural relaxation.

```
Mo2IrSe
1.0
4.536 0.000 0.000
0.000 3.745 0.000
0.000 0.000 3.745
Mo Ir Se
2 1 1
Direct
0.000 0.000 0.000
0.000 0.500 0.500
0.500 0.000 0.500
0.500 0.500 0.000
```

Output
uncorrected formation energy: 0.425 eV per atom
space-group type: No. 123
M_tot: 0.0 μB/cell
DOS at the Fermi energy: 2.9 states/eV/cell

=====

Entry 8:
## Mo2IrSe (GGA-PBE)

Data for Mo2IrSe after structural relaxation.

```
Mo2IrSe
1.0
4.956 0.004 -0.008
4.047 2.862 -0.008
0.269 0.086 4.519
Ir Mo Se
1 2 1
Direct
0.250 0.250 0.250
0.520 0.520 0.481
0.980 0.980 0.019
0.750 0.750 0.750
```

Output
uncorrected formation energy: 0.251 eV per atom
space-group type: No. 12
M_tot: 0.0 μB/cell
DOS at the Fermi energy: 3.3 states/eV/cell

=====

Entry 9:
## MoIrSe (GGA-PBE)

Data for MoIrSe after structural relaxation.

```
MoIrSe
1.0
-0.286 0.602 -2.878
-0.309 -2.774 0.967
-6.289 0.991 0.832
Mo Ir Se
1 1 1
Direct
0.333 0.667 0.341
0.000 0.000 0.018
0.667 0.333 0.640
```

Output
uncorrected formation energy: 0.102 eV per atom
space-group type: No. 156
M_tot: 0.0 μB/cell
DOS at the Fermi energy: 0.9 states/eV/cell

=====

Entry 10:
## MoIr3Se (GGA-PBE)

Data for MoIr3Se after structural relaxation.

```
MoIr3Se
1.0
-3.737 -1.881 2.223
1.608 -4.348 -0.976
2.428 -0.015 4.068
Ir Mo Se
3 1 1
Direct
0.500 0.000 0.000
0.000 0.500 0.000
0.000 0.000 0.500
0.000 0.000 0.000
0.500 0.500 0.500
```

Output
uncorrected formation energy: 1.772 eV per atom
space-group type: No. 221
M_tot: 0.0 μB/cell
DOS at the Fermi energy: 6.8 states/eV/cell

=====

no.,total DFT energy (no corrections) (eV per cell)
1,-25.329
2,-22.434
3,-25.363
4,-33.198
5,-24.112
6,-46.179
7,-32.307
8,-33.003
9,-22.871
10,-32.039